PmMnSeO2: relaxed, GGA+U.

Uncorrected energy   -7.15 eV per atom
Spin magnetization   4.00 μB per formula unit
V   17.64 A^3/atom

Geometry as CIF:
```
data_PmMnSeO2
_symmetry_space_group_name_H-M 'C m c m'
_symmetry_Int_Tables_number 63
_symmetry_space_group_name_Hall '-C 2c 2'
_cell_length_a 5.516
_cell_length_b 11.718
_cell_length_c 5.458
_cell_angle_alpha 90.00
_cell_angle_beta 90.00
_cell_angle_gamma 90.00
loop_
_atom_site_label
_atom_site_type_symbol
_atom_site_fract_x
_atom_site_fract_y
_atom_site_fract_z
_atom_site_occupancy
Pm1 Pm 0.000 0.128 0.250 1
Mn1 Mn 0.000 0.487 0.250 1
Se1 Se 0.000 0.258 0.750 1
O1 O 0.244 0.500 0.000 1
```